1.
Material: CaZn5I12
Method: DFT, PBE
State: optimized geometry

## Properties
V, A^3/atom: 45.20
Energy relative to the elements, uncorrected, eV/atom: -0.695
Total magnetic moment, μB per cell: 0.0
DOS at the Fermi energy, states/eV/atom: 0.000
Crystal system: triclinic

```
CaZn5I12
1.0
7.2785 0.0000 0.0000
3.1580 6.9488 0.0000
1.1862 1.8173 16.0870
Ca Zn I
1 5 12
direct
0.0000 0.0000 0.0000 Ca
0.0540 0.6655 0.5525 Zn
0.4354 0.3086 0.0636 Zn
0.5000 0.0000 0.5000 Zn
0.5646 0.6914 0.9364 Zn
0.9460 0.3345 0.4475 Zn
0.0814 0.3021 0.6008 I
0.0940 0.2842 0.0971 I
0.2644 0.0700 0.3739 I
0.2882 0.9803 0.8493 I
0.3765 0.6943 0.5907 I
0.4061 0.6651 0.0934 I
0.5939 0.3349 0.9066 I
0.6235 0.3057 0.4093 I
0.7118 0.0197 0.1507 I
0.7356 0.9300 0.6261 I
0.9060 0.7158 0.9029 I
0.9186 0.6979 0.3992 I
```



2.
Material: Ca2Zn2I
Method: DFT, PBE
State: optimized geometry

## Properties
V, A^3/atom: 30.56
Energy relative to the elements, uncorrected, eV/atom: -0.389
Total magnetic moment, μB per cell: 0.0
DOS at the Fermi energy, states/eV/atom: 0.913
Crystal system: tetragonal

```
Ca2Zn2I
1.0
8.5759 0.0000 0.0000
0.0000 8.5759 0.0000
0.0000 0.0000 4.1550
Ca Zn I
4 4 2
direct
0.1823 0.3177 0.0000 Ca
0.3177 0.8177 0.0000 Ca
0.6823 0.1823 0.0000 Ca
0.8177 0.6823 0.0000 Ca
0.1023 0.6023 0.5000 Zn
0.3977 0.1023 0.5000 Zn
0.6023 0.8977 0.5000 Zn
0.8977 0.3977 0.5000 Zn
0.0000 0.0000 0.0000 I
0.5000 0.5000 0.0000 I
```



3.
Material: CaZnI
Method: DFT, PBE
State: optimized geometry

## Properties
V, A^3/atom: 34.56
Energy relative to the elements, uncorrected, eV/atom: -0.787
Total magnetic moment, μB per cell: 0.0
DOS at the Fermi energy, states/eV/atom: 0.351
Crystal system: monoclinic

```
CaZnI
1.0
2.2654 -3.6953 0.0000
2.2654 3.6953 0.0000
-2.1930 0.0000 12.3865
Ca Zn I
2 2 2
direct
0.0832 0.0832 0.1720 Ca
0.9168 0.9168 0.8280 Ca
0.3297 0.6703 0.0000 Zn
0.6703 0.3297 0.0000 Zn
0.3386 0.3386 0.6664 I
0.6614 0.6614 0.3336 I
```



4.
Material: CaZn2I
Method: DFT, PBE
State: optimized geometry

## Properties
V, A^3/atom: 28.95
Energy relative to the elements, uncorrected, eV/atom: -0.213
Total magnetic moment, μB per cell: 0.0
DOS at the Fermi energy, states/eV/atom: 0.336
Crystal system: tetragonal

```
CaZn2I
1.0
-4.3399 4.3399 3.0736
4.3399 -4.3399 3.0736
4.3399 4.3399 -3.0736
Ca Zn I
2 4 2
direct
0.0000 0.0000 0.0000 Ca
0.7500 0.2500 0.5000 Ca
0.1203 0.1250 0.4953 Zn
0.3750 0.8797 0.0047 Zn
0.6297 0.6250 0.5047 Zn
0.8750 0.3703 0.9953 Zn
0.2500 0.7500 0.5000 I
0.5000 0.5000 0.0000 I
```



5.
Material: CaZnI4
Method: DFT, PBE
State: optimized geometry

## Properties
V, A^3/atom: 41.48
Energy relative to the elements, uncorrected, eV/atom: -1.012
Total magnetic moment, μB per cell: 0.0
DOS at the Fermi energy, states/eV/atom: 0.000
Crystal system: monoclinic

```
CaZnI4
1.0
7.6057 0.0000 0.0000
0.0000 4.2471 0.0000
-7.5474 0.0000 15.4088
Ca Zn I
2 2 8
direct
0.0000 0.0000 0.0000 Ca
0.0000 0.5000 0.5000 Ca
0.5000 0.0000 0.5000 Zn
0.5000 0.5000 0.0000 Zn
0.2455 0.0123 0.8927 I
0.2455 0.4877 0.3927 I
0.3038 0.0000 0.6139 I
0.3038 0.5000 0.1139 I
0.6962 0.0000 0.3861 I
0.6962 0.5000 0.8861 I
0.7545 0.5123 0.6073 I
0.7545 0.9877 0.1073 I
```



6.
Material: CaZnI3
Method: DFT, PBE
State: optimized geometry

## Properties
V, A^3/atom: 46.22
Energy relative to the elements, uncorrected, eV/atom: -0.608
Total magnetic moment, μB per cell: 1.0
DOS at the Fermi energy, states/eV/atom: 0.863
Crystal system: cubic

```
CaZnI3
1.0
6.1365 0.0000 0.0000
0.0000 6.1365 0.0000
0.0000 0.0000 6.1365
Ca Zn I
1 1 3
direct
0.0000 0.0000 0.0000 Ca
0.5000 0.5000 0.5000 Zn
0.0000 0.0000 0.5000 I
0.0000 0.5000 0.0000 I
0.5000 0.0000 0.0000 I
```



7.
Material: CaZn3I
Method: DFT, PBE
State: optimized geometry

## Properties
V, A^3/atom: 42.19
Energy relative to the elements, uncorrected, eV/atom: 0.375
Total magnetic moment, μB per cell: 0.0
DOS at the Fermi energy, states/eV/atom: 0.493
Crystal system: cubic

```
CaZn3I
1.0
5.9528 0.0000 0.0000
0.0000 5.9528 0.0000
0.0000 0.0000 5.9528
Ca Zn I
1 3 1
direct
0.0000 0.0000 0.0000 Ca
0.0000 0.0000 0.5000 Zn
0.0000 0.5000 0.0000 Zn
0.5000 0.0000 0.0000 Zn
0.5000 0.5000 0.5000 I
```



8.
Material: CaZnI4
Method: DFT, PBE
State: optimized geometry

## Properties
V, A^3/atom: 41.62
Energy relative to the elements, uncorrected, eV/atom: -1.012
Total magnetic moment, μB per cell: 0.0
DOS at the Fermi energy, states/eV/atom: 0.000
Crystal system: monoclinic

```
CaZnI4
1.0
8.4680 -2.1219 0.0000
8.4680 2.1219 0.0000
-3.0901 0.0000 6.9487
Ca Zn I
1 1 4
direct
0.0000 0.0000 0.0000 Ca
0.5000 0.5000 0.5000 Zn
0.1069 0.1069 0.4489 I
0.3866 0.3866 0.0883 I
0.6134 0.6134 0.9117 I
0.8931 0.8931 0.5511 I
```



9.
Material: CaZn2I
Method: DFT, PBE
State: optimized geometry

## Properties
V, A^3/atom: 29.06
Energy relative to the elements, uncorrected, eV/atom: 0.018
Total magnetic moment, μB per cell: 0.0
DOS at the Fermi energy, states/eV/atom: 0.595
Crystal system: cubic

```
CaZn2I
1.0
0.0000 3.8735 3.8735
3.8735 0.0000 3.8735
3.8735 3.8735 0.0000
Ca Zn I
1 2 1
direct
0.0000 0.0000 0.0000 Ca
0.2500 0.2500 0.2500 Zn
0.7500 0.7500 0.7500 Zn
0.5000 0.5000 0.5000 I
```



10.
Material: CaZrI2
Method: DFT, PBE
State: optimized geometry

## Properties
V, A^3/atom: 36.13
Energy relative to the elements, uncorrected, eV/atom: -0.205
Total magnetic moment, μB per cell: 6.8
DOS at the Fermi energy, states/eV/atom: 0.632
Crystal system: tetragonal

```
CaZrI2
1.0
-2.7616 2.7616 9.4756
2.7616 -2.7616 9.4756
2.7616 2.7616 -9.4756
Ca Zr I
2 2 4
direct
0.0000 0.0000 0.0000 Ca
0.7500 0.2500 0.5000 Ca
0.2500 0.7500 0.5000 Zr
0.5000 0.5000 0.0000 Zr
0.1447 0.6250 0.0197 I
0.3750 0.3947 0.5197 I
0.6053 0.1250 0.9803 I
0.8750 0.8553 0.4803 I
```



11.
Material: CaZrI2
Method: DFT, PBE
State: optimized geometry

## Properties
V, A^3/atom: 25.94
Energy relative to the elements, uncorrected, eV/atom: -0.384
Total magnetic moment, μB per cell: 0.0
DOS at the Fermi energy, states/eV/atom: 0.000
Crystal system: cubic

```
CaZrI2
1.0
0.0000 3.7296 3.7296
3.7296 0.0000 3.7296
3.7296 3.7296 0.0000
Ca Zr I
1 1 2
direct
0.0000 0.0000 0.0000 Ca
0.5000 0.5000 0.5000 Zr
0.2500 0.2500 0.2500 I
0.7500 0.7500 0.7500 I
```



12.
Material: Ca2ZrI2
Method: DFT, PBE
State: optimized geometry

## Properties
V, A^3/atom: 39.44
Energy relative to the elements, uncorrected, eV/atom: -0.017
Total magnetic moment, μB per cell: 3.1
DOS at the Fermi energy, states/eV/atom: 2.145
Crystal system: tetragonal

```
Ca2ZrI2
1.0
-2.5940 2.5940 7.3261
2.5940 -2.5940 7.3261
2.5940 2.5940 -7.3261
Ca Zr I
2 1 2
direct
0.1226 0.1226 0.0000 Ca
0.8774 0.8774 0.0000 Ca
0.5000 0.5000 0.0000 Zr
0.2500 0.7500 0.5000 I
0.7500 0.2500 0.5000 I
```



13.
Material: Ca2ZrI2
Method: DFT, PBE
State: optimized geometry

## Properties
V, A^3/atom: 32.96
Energy relative to the elements, uncorrected, eV/atom: -0.073
Total magnetic moment, μB per cell: 6.6
DOS at the Fermi energy, states/eV/atom: 0.751
Crystal system: tetragonal

```
Ca2ZrI2
1.0
9.3652 0.0000 0.0000
0.0000 9.3652 0.0000
0.0000 0.0000 3.7574
Ca Zr I
4 2 4
direct
0.1604 0.3396 0.0000 Ca
0.3396 0.8396 0.0000 Ca
0.6604 0.1604 0.0000 Ca
0.8396 0.6604 0.0000 Ca
0.0000 0.0000 0.0000 Zr
0.5000 0.5000 0.0000 Zr
0.1379 0.6379 0.5000 I
0.3621 0.1379 0.5000 I
0.6379 0.8621 0.5000 I
0.8621 0.3621 0.5000 I
```



14.
Material: Ca4In3
Method: DFT, PBE
State: optimized geometry

## Properties
Energy of formation, eV/atom: -0.37
V, A^3/atom: 32.12
Total magnetic moment, μB per cell: 0.0
DOS at the Fermi energy, states/eV/atom: 0.804
Crystal system: trigonal

```
Ca4In3
1.0
2.7049 1.5617 8.8703
-2.7049 1.5617 8.8703
0.0000 -3.1234 8.8703
Ca In
4 3
direct
0.1225 0.1225 0.1225 Ca
0.3734 0.3734 0.3734 Ca
0.6266 0.6266 0.6266 Ca
0.8775 0.8775 0.8775 Ca
0.2479 0.2479 0.2479 In
0.5000 0.5000 0.5000 In
0.7521 0.7521 0.7521 In
```



15.
Material: CaIn2
Method: DFT, PBE
State: optimized geometry

## Properties
Energy of formation, eV/atom: -0.34
V, A^3/atom: 27.46
Total magnetic moment, μB per cell: 0.0
DOS at the Fermi energy, states/eV/atom: 0.467
Crystal system: monoclinic

```
CaIn2
1.0
5.3230 -2.4166 0.0000
5.3230 2.4166 0.0000
-2.0293 0.0000 6.4050
Ca In
2 4
direct
0.1547 0.1547 0.3140 Ca
0.8453 0.8453 0.6860 Ca
0.1714 0.1714 0.8262 In
0.5000 0.5000 0.0000 In
0.5000 0.5000 0.5000 In
0.8286 0.8286 0.1738 In
```



16.
Material: Ca3In
Method: DFT, PBE
State: optimized geometry

## Properties
Energy of formation, eV/atom: -0.21
V, A^3/atom: 34.95
Total magnetic moment, μB per cell: 0.6
DOS at the Fermi energy, states/eV/atom: 1.092
Crystal system: orthorhombic

```
Ca3In
1.0
-2.0336 2.8912 5.9448
2.0336 -2.8912 5.9448
2.0336 2.8912 -5.9448
Ca In
3 1
direct
0.0000 0.0000 0.0000 Ca
0.2855 0.7855 0.5000 Ca
0.7145 0.2145 0.5000 Ca
0.5000 0.5000 0.0000 In
```



17.
Material: CaIn2
Method: DFT, PBE
State: optimized geometry

## Properties
Energy of formation, eV/atom: -0.02
V, A^3/atom: 33.53
Total magnetic moment, μB per cell: 0.0
DOS at the Fermi energy, states/eV/atom: 0.409
Crystal system: hexagonal

```
CaIn2
1.0
5.4207 0.0000 0.0000
-2.7104 4.6945 0.0000
0.0000 0.0000 7.9054
Ca In
2 4
direct
0.0000 0.0000 0.0000 Ca
0.0000 0.0000 0.5000 Ca
0.3333 0.6667 0.0586 In
0.3333 0.6667 0.4414 In
0.6667 0.3333 0.5586 In
0.6667 0.3333 0.9414 In
```



18.
Material: CaIn2
Method: DFT, PBE
State: optimized geometry

## Properties
Energy of formation, eV/atom: -0.27
V, A^3/atom: 28.51
Total magnetic moment, μB per cell: 0.0
DOS at the Fermi energy, states/eV/atom: 0.514
Crystal system: monoclinic

```
CaIn2
1.0
6.9942 -1.8033 0.0000
6.9942 1.8033 0.0000
-2.4737 0.0000 6.7814
Ca In
2 4
direct
0.1442 0.1442 0.0796 Ca
0.8558 0.8558 0.9204 Ca
0.1731 0.1731 0.6062 In
0.4909 0.4909 0.7025 In
0.5091 0.5091 0.2975 In
0.8269 0.8269 0.3938 In
```



19.
Material: Ca8In3
Method: DFT, PBE
State: optimized geometry

## Properties
Energy of formation, eV/atom: -0.34
V, A^3/atom: 33.46
Total magnetic moment, μB per cell: 0.0
DOS at the Fermi energy, states/eV/atom: 0.333
Crystal system: triclinic

```
Ca8In3
1.0
9.5916 0.0000 0.0000
-4.7934 8.3968 0.0000
-1.8828 -2.8196 9.1395
Ca In
16 6
direct
0.0327 0.2024 0.1494 Ca
0.0390 0.2065 0.7952 Ca
0.1672 0.6209 0.3887 Ca
0.2019 0.9991 0.6124 Ca
0.2725 0.6535 0.7975 Ca
0.3793 0.8999 0.1462 Ca
0.4207 0.2694 0.3916 Ca
0.4597 0.5608 0.1704 Ca
0.5403 0.4392 0.8296 Ca
0.5793 0.7306 0.6084 Ca
0.6207 0.1001 0.8538 Ca
0.7275 0.3465 0.2025 Ca
0.7981 0.0009 0.3876 Ca
0.8328 0.3791 0.6113 Ca
0.9610 0.7935 0.2048 Ca
0.9673 0.7976 0.8506 Ca
0.0000 0.5000 0.0000 In
0.1762 0.3393 0.5259 In
0.3269 0.1621 0.9998 In
0.5000 0.0000 0.5000 In
0.6731 0.8379 0.0002 In
0.8238 0.6607 0.4741 In
```



20.
Material: Ca2In
Method: DFT, PBE
State: optimized geometry

## Properties
Energy of formation, eV/atom: -0.15
V, A^3/atom: 38.56
Total magnetic moment, μB per cell: 0.0
DOS at the Fermi energy, states/eV/atom: 1.457
Crystal system: cubic

```
Ca2In
1.0
7.7346 0.0000 0.0000
0.0000 7.7346 0.0000
0.0000 0.0000 7.7346
Ca In
8 4
direct
0.1597 0.1597 0.1597 Ca
0.1597 0.3403 0.6597 Ca
0.3403 0.6597 0.1597 Ca
0.3403 0.8403 0.6597 Ca
0.6597 0.1597 0.3403 Ca
0.6597 0.3403 0.8403 Ca
0.8403 0.6597 0.3403 Ca
0.8403 0.8403 0.8403 Ca
0.0000 0.0000 0.5000 In
0.0000 0.5000 0.0000 In
0.5000 0.0000 0.0000 In
0.5000 0.5000 0.5000 In
```